Record 1
# Na2ZnBr2Cl2 (GGA-PBE, relaxed)
# E: -40.497 eV/cell
# formation energy (no corrections): -1.328 eV per atom
# DOS at the Fermi energy: 0.0000 states/eV per atom
data_Na2ZnBr2Cl2
_cell_length_a 13.427
_cell_length_b 4.089
_cell_length_c 7.284
_cell_angle_alpha 90.00
_cell_angle_beta 112.89
_cell_angle_gamma 90.00
_space_group_name_H-M_alt 'C 1 2/m 1'
_space_group_IT_number 12
loop_
_space_group_symop_operation_xyz
'x,y,z'
'-x,-y,-z'
'-x,y,-z'
'x,-y,z'
'x+1/2,y+1/2,z'
'-x+1/2,-y+1/2,-z'
'-x+1/2,y+1/2,-z'
'x+1/2,-y+1/2,z'
loop_
_atom_site_label
_atom_site_type_symbol
_atom_site_fract_x
_atom_site_fract_y
_atom_site_fract_z
Na1 Na 0.220 0.000 0.228
Zn1 Zn 0.000 0.000 0.500
Br1 Br 0.098 0.500 0.364
Cl1 Cl 0.146 0.000 0.806

Record 2
# Cs2RbTlCd (GGA-PBE, relaxed)
# E: -5.205 eV/cell
# ΔH_f (0 K): 150 meV per atom
# DOS at the Fermi energy: 0.6599 states/eV per atom
data_Cs2RbTlCd
_cell_length_a 7.393
_cell_length_b 7.393
_cell_length_c 7.211
_cell_angle_alpha 90.00
_cell_angle_beta 90.00
_cell_angle_gamma 90.00
_space_group_name_H-M_alt 'P 4/m m m'
_space_group_IT_number 123
_space_group_name_Hall '-P 4 2'
loop_
_atom_site_label
_atom_site_type_symbol
_atom_site_fract_x
_atom_site_fract_y
_atom_site_fract_z
Cs1 Cs 0.000 0.500 0.000
Rb1 Rb 0.000 0.000 0.500
Tl1 Tl 0.000 0.000 0.000
Cd1 Cd 0.500 0.500 0.500

Question: The highest E belongs to which entry?
Answer: Cs2RbTlCd

What did the first record say?
# Na2ZnBr2Cl2 (GGA-PBE, relaxed)
# E: -40.497 eV/cell
# formation energy (no corrections): -1.328 eV per atom
# DOS at the Fermi energy: 0.0000 states/eV per atom
data_Na2ZnBr2Cl2
_cell_length_a 13.427
_cell_length_b 4.089
_cell_length_c 7.284
_cell_angle_alpha 90.00
_cell_angle_beta 112.89
_cell_angle_gamma 90.00
_space_group_name_H-M_alt 'C 1 2/m 1'
_space_group_IT_number 12
loop_
_space_group_symop_operation_xyz
'x,y,z'
'-x,-y,-z'
'-x,y,-z'
'x,-y,z'
'x+1/2,y+1/2,z'
'-x+1/2,-y+1/2,-z'
'-x+1/2,y+1/2,-z'
'x+1/2,-y+1/2,z'
loop_
_atom_site_label
_atom_site_type_symbol
_atom_site_fract_x
_atom_site_fract_y
_atom_site_fract_z
Na1 Na 0.220 0.000 0.228
Zn1 Zn 0.000 0.000 0.500
Br1 Br 0.098 0.500 0.364
Cl1 Cl 0.146 0.000 0.806

What did the second record say?
# Cs2RbTlCd (GGA-PBE, relaxed)
# E: -5.205 eV/cell
# ΔH_f (0 K): 150 meV per atom
# DOS at the Fermi energy: 0.6599 states/eV per atom
data_Cs2RbTlCd
_cell_length_a 7.393
_cell_length_b 7.393
_cell_length_c 7.211
_cell_angle_alpha 90.00
_cell_angle_beta 90.00
_cell_angle_gamma 90.00
_space_group_name_H-M_alt 'P 4/m m m'
_space_group_IT_number 123
_space_group_name_Hall '-P 4 2'
loop_
_atom_site_label
_atom_site_type_symbol
_atom_site_fract_x
_atom_site_fract_y
_atom_site_fract_z
Cs1 Cs 0.000 0.500 0.000
Rb1 Rb 0.000 0.000 0.500
Tl1 Tl 0.000 0.000 0.000
Cd1 Cd 0.500 0.500 0.500

Question: DOS at the Fermi energy of number 1 (Na2ZnBr2Cl2)?
Answer: 0.0000 states/eV per atom